No. 1
A plane-wave DFT calculation with SCAN was carried out for CaMg2Pb at its PBEsol-relaxed geometry.

## Properties
* SG: I-4m2 (119)
* DFT formation energy: -1.16 eV/f.u.
* energy above the lowest structure with this stoichiometry: 0.000 kcal/mol of atoms

Geometry as POSCAR:
```
CaMg2Pb
1.0
-2.434 2.434 4.374
2.434 -2.434 4.374
2.434 2.434 -4.374
Ca Mg Pb
1 2 1
Cartesian
0.000 0.000 0.000
0.000 0.000 4.374
0.000 2.434 2.187
2.434 0.000 2.187
```

***

No. 2
A plane-wave DFT calculation with SCAN was carried out for MgAlCu2 at its PBEsol-relaxed geometry.

## Properties
* SG: P4/mmm (123)
* DFT formation energy: -0.94 eV/f.u.

Geometry as POSCAR:
```
MgAlCu2
1.0
4.213 0.000 0.000
0.000 4.213 0.000
0.000 0.000 3.065
Mg Al Cu
1 1 2
Cartesian
0.000 0.000 0.000
2.107 2.107 0.000
0.000 2.107 1.532
2.107 0.000 1.532
```

***

No. 3
A plane-wave DFT calculation with SCAN was carried out for Dy2TlHg at its PBEsol-relaxed geometry.

## Properties
* SG: Fm-3m (225)
* DFT formation energy: -2.48 eV/f.u.

Geometry as POSCAR:
```
Dy2TlHg
1.0
0.000 3.686 3.686
3.686 0.000 3.686
3.686 3.686 0.000
Dy Tl Hg
2 1 1
Cartesian
1.843 1.843 1.843
5.529 5.529 5.529
0.000 0.000 0.000
3.686 3.686 3.686
```

***

No. 4
A plane-wave DFT calculation with SCAN was carried out for Er3Si6Pd20 at its PBEsol-relaxed geometry.

## Properties
* SG: Fm-3m (225)
* raw formation energy: -0.906 eV per atom

Geometry as POSCAR:
```
Er3Si6Pd20
1.0
0.000 6.052 6.052
6.052 0.000 6.052
6.052 6.052 0.000
Er Si Pd
3 6 20
Cartesian
0.000 0.000 0.000
3.026 3.026 3.026
9.079 9.079 9.079
6.052 6.052 3.239
6.052 3.239 6.052
8.866 6.052 6.052
3.239 6.052 6.052
6.052 8.866 6.052
6.052 6.052 8.866
2.091 2.091 0.000
3.961 3.961 0.000
2.091 0.000 2.091
6.052 3.961 2.091
3.961 0.000 3.961
6.052 2.091 3.961
7.470 4.634 4.634
0.000 2.091 2.091
3.961 6.052 2.091
3.961 2.091 6.052
4.634 4.634 4.634
7.470 7.470 4.634
7.470 4.634 7.470
4.634 7.470 4.634
4.634 4.634 7.470
7.470 7.470 7.470
0.000 3.961 3.961
2.091 6.052 3.961
2.091 3.961 6.052
4.634 7.470 7.470
```

***

No. 5
A plane-wave DFT calculation with SCAN was carried out for LaP2Ru at its PBEsol-relaxed geometry.

## Properties
* SG: R3m (160)
* DFT formation energy: 0.36 eV/f.u.
* energy above the lowest structure with this stoichiometry: 17.126 kcal/mol of atoms

Geometry as POSCAR:
```
LaP2Ru
1.0
1.568 0.905 8.032
-1.568 0.905 8.032
0.000 -1.810 8.032
La P Ru
1 2 1
Cartesian
0.000 0.000 0.000
0.000 0.000 11.973
0.000 0.000 18.485
0.000 0.000 5.485
```

***

No. 6
A plane-wave DFT calculation with SCAN was carried out for La3MgO at its PBEsol-relaxed geometry.

## Properties
* SG: Pm-3m (221)
* raw formation energy: -1.335 eV per atom

Geometry as POSCAR:
```
La3MgO
1.0
5.043 0.000 0.000
0.000 5.043 0.000
0.000 0.000 5.043
La Mg O
3 1 1
Cartesian
0.000 0.000 2.522
0.000 2.522 0.000
2.522 0.000 0.000
2.522 2.522 2.522
0.000 0.000 0.000
```